Crystalline Ca2GeHPd6 at its relaxed geometry, computed with PBE.

Cell: 5.793 5.793 6.723 Å, 115.30 115.30 60.05°
Fractional positions:
Ca 0.225 0.225 0.175
Ca 0.775 0.775 0.825
Ge 0.500 0.500 0.000
H 0.000 0.000 0.500
Pd 0.229 0.731 0.691
Pd 0.230 0.230 0.691
Pd 0.269 0.771 0.309
Pd 0.731 0.229 0.691
Pd 0.770 0.770 0.309
Pd 0.771 0.269 0.309

Summary:
* calculated volume: 17.00 Å³ per atom
* energy: -49.4 eV per formula unit


Crystalline Ca2GeHPt at its relaxed geometry, computed with PBE.

Cell: 5.201 5.201 3.525 Å, 90.00 90.00 90.00°
Fractional positions:
Ca 0.000 0.500 0.000
Ca 0.500 0.000 0.000
Ge 0.000 0.000 0.500
H 0.500 0.500 0.000
Pt 0.500 0.500 0.500

Summary:
* calculated volume: 19.07 Å³ per atom
* energy: -21.2 eV per formula unit